1.
VASP calculation (PBE) on crystalline Hf12Sn6Ir at its relaxed geometry.

Computed properties:
* total energy: -8.01 eV per atom
* formation energy from the elements: 0.01 eV/atom

Cell and atoms, written as CIF:
```
data_Hf12Sn6Ir
_chemical_formula_sum 'Hf36 Sn18 Ir3'
_cell_length_a 12.2090
_cell_length_b 12.2090
_cell_length_c 10.9066
_cell_angle_alpha 90.00
_cell_angle_beta 90.00
_cell_angle_gamma 120.00
_space_group_name_H-M_alt 'R -3'
_space_group_IT_number 148
_space_group_name_Hall '-R 3'
loop_
_atom_site_label
_atom_site_type_symbol
_atom_site_fract_x
_atom_site_fract_y
_atom_site_fract_z
Hf1 Hf 0.0216 0.1607 0.3782
Hf2 Hf 0.0711 0.1945 0.8678
Sn1 Sn 0.0323 0.2936 0.6305
Ir1 Ir 0.0000 0.0000 0.0000
```

---

2.
VASP calculation (PBE) on crystalline HfSnIr2 at its relaxed geometry.

Computed properties:
* total energy: -7.68 eV per atom
* formation energy from the elements: 0.24 eV/atom

Cell and atoms, written as CIF:
```
data_HfSnIr2
_chemical_formula_sum 'Hf4 Sn4 Ir8'
_cell_length_a 5.9703
_cell_length_b 5.9703
_cell_length_c 11.7946
_cell_angle_alpha 90.00
_cell_angle_beta 90.00
_cell_angle_gamma 90.00
_space_group_name_H-M_alt 'I -4 2 d'
_space_group_IT_number 122
_space_group_name_Hall 'I -4 2bw'
loop_
_atom_site_label
_atom_site_type_symbol
_atom_site_fract_x
_atom_site_fract_y
_atom_site_fract_z
Hf1 Hf 0.0000 0.0000 0.0000
Sn1 Sn 0.0000 0.0000 0.5000
Ir1 Ir 0.2468 0.2500 0.1250
```

---

3.
VASP calculation (PBE) on crystalline Hf4SnIr2 at its relaxed geometry.

Computed properties:
* total energy: -9.32 eV per atom
* formation energy from the elements: -0.52 eV/atom

Cell and atoms, written as CIF:
```
data_Hf4SnIr2
_chemical_formula_sum 'Hf12 Sn3 Ir6'
_cell_length_a 4.3733
_cell_length_b 4.3733
_cell_length_c 28.4723
_cell_angle_alpha 90.00
_cell_angle_beta 90.00
_cell_angle_gamma 120.00
_space_group_name_H-M_alt 'R -3 m'
_space_group_IT_number 166
_space_group_name_Hall '-R 3 2"'
loop_
_atom_site_label
_atom_site_type_symbol
_atom_site_fract_x
_atom_site_fract_y
_atom_site_fract_z
Hf1 Hf 0.0000 0.0000 0.1073
Hf2 Hf 0.0000 0.0000 0.3007
Sn1 Sn 0.0000 0.0000 0.5000
Ir1 Ir 0.0000 0.0000 0.3979
```

---

4.
VASP calculation (PBE) on crystalline Sr2HfIr2 at its relaxed geometry.

Computed properties:
* total energy: -5.73 eV per atom
* formation energy from the elements: 0.48 eV/atom
* E above lowest polymorph: 737 meV/atom

Cell and atoms, written as CIF:
```
data_Sr2HfIr2
_chemical_formula_sum 'Sr4 Hf2 Ir4'
_cell_length_a 4.1718
_cell_length_b 4.1718
_cell_length_c 13.7082
_cell_angle_alpha 90.00
_cell_angle_beta 90.00
_cell_angle_gamma 90.00
_space_group_name_H-M_alt 'I 4/m m m'
_space_group_IT_number 139
_space_group_name_Hall '-I 4 2'
loop_
_atom_site_label
_atom_site_type_symbol
_atom_site_fract_x
_atom_site_fract_y
_atom_site_fract_z
Sr1 Sr 0.0000 0.5000 0.2500
Hf1 Hf 0.0000 0.0000 0.0000
Ir1 Ir 0.0000 0.0000 0.4114
```

---

5.
VASP calculation (PBE) on crystalline Sr2HfIr at its relaxed geometry.

Computed properties:
* total energy: -5.35 eV per atom
* formation energy from the elements: 0.20 eV/atom
* E above lowest polymorph: 0 meV/atom

Cell and atoms, written as CIF:
```
data_Sr2HfIr
_chemical_formula_sum 'Sr8 Hf4 Ir4'
_cell_length_a 11.2758
_cell_length_b 11.2758
_cell_length_c 4.9692
_cell_angle_alpha 90.00
_cell_angle_beta 90.00
_cell_angle_gamma 90.00
_space_group_name_H-M_alt 'I -4 2 d'
_space_group_IT_number 122
_space_group_name_Hall 'I -4 2bw'
loop_
_atom_site_label
_atom_site_type_symbol
_atom_site_fract_x
_atom_site_fract_y
_atom_site_fract_z
Sr1 Sr 0.0934 0.2500 0.1250
Hf1 Hf 0.0000 0.0000 0.5000
Ir1 Ir 0.0000 0.0000 0.0000
```

---

6.
VASP calculation (PBE) on crystalline Sr2HfIr at its relaxed geometry.

Computed properties:
* total energy: -4.77 eV per atom
* formation energy from the elements: 0.77 eV/atom
* E above lowest polymorph: 575 meV/atom

Cell and atoms, written as CIF:
```
data_Sr2HfIr
_chemical_formula_sum 'Sr8 Hf4 Ir4'
_cell_length_a 7.5286
_cell_length_b 7.5286
_cell_length_c 7.5286
_cell_angle_alpha 90.00
_cell_angle_beta 90.00
_cell_angle_gamma 90.00
_space_group_name_H-M_alt 'F m -3 m'
_space_group_IT_number 225
_space_group_name_Hall '-F 4 2 3'
loop_
_atom_site_label
_atom_site_type_symbol
_atom_site_fract_x
_atom_site_fract_y
_atom_site_fract_z
Sr1 Sr 0.2500 0.2500 0.2500
Hf1 Hf 0.0000 0.0000 0.0000
Ir1 Ir 0.0000 0.0000 0.5000
```

---

7.
VASP calculation (PBE) on crystalline SrHfIr at its relaxed geometry.

Computed properties:
* total energy: -7.44 eV per atom
* formation energy from the elements: -0.60 eV/atom

Cell and atoms, written as CIF:
```
data_SrHfIr
_chemical_formula_sum 'Sr2 Hf2 Ir2'
_cell_length_a 4.5568
_cell_length_b 4.5568
_cell_length_c 7.7987
_cell_angle_alpha 90.00
_cell_angle_beta 90.00
_cell_angle_gamma 90.00
_space_group_name_H-M_alt 'P 4/n m m'
_space_group_IT_number 129
loop_
_space_group_symop_operation_xyz
'x,y,z'
'-x,-y,-z'
'-y+1/2,x,z'
'y+1/2,-x,-z'
'-x+1/2,-y+1/2,z'
'x+1/2,y+1/2,-z'
'y,-x+1/2,z'
'-y,x+1/2,-z'
'x+1/2,-y,-z'
'-x+1/2,y,z'
'-y,-x,-z'
'y,x,z'
'-x,y+1/2,-z'
'x,-y+1/2,z'
'y+1/2,x+1/2,-z'
'-y+1/2,-x+1/2,z'
loop_
_atom_site_label
_atom_site_type_symbol
_atom_site_fract_x
_atom_site_fract_y
_atom_site_fract_z
Sr1 Sr 0.2500 0.2500 0.1453
Hf1 Hf 0.2500 0.7500 0.5000
Ir1 Ir 0.2500 0.2500 0.6790
```

---

8.
VASP calculation (PBE) on crystalline Sr2HfIr2 at its relaxed geometry.

Computed properties:
* total energy: -6.47 eV per atom
* formation energy from the elements: -0.26 eV/atom
* E above lowest polymorph: 0 meV/atom

Cell and atoms, written as CIF:
```
data_Sr2HfIr2
_chemical_formula_sum 'Sr4 Hf2 Ir4'
_cell_length_a 7.0148
_cell_length_b 7.0148
_cell_length_c 5.0150
_cell_angle_alpha 90.00
_cell_angle_beta 90.00
_cell_angle_gamma 90.00
_space_group_name_H-M_alt 'P 4/m b m'
_space_group_IT_number 127
_space_group_name_Hall '-P 4 2ab'
loop_
_atom_site_label
_atom_site_type_symbol
_atom_site_fract_x
_atom_site_fract_y
_atom_site_fract_z
Sr1 Sr 0.1738 0.3262 0.0000
Hf1 Hf 0.0000 0.0000 0.5000
Ir1 Ir 0.1284 0.6284 0.5000
```

---

9.
VASP calculation (PBE) on crystalline SrHfTcIr2 at its relaxed geometry.

Computed properties:
* total energy: -5.25 eV per atom
* formation energy from the elements: 2.70 eV/atom

Cell and atoms, written as CIF:
```
data_SrHfTcIr2
_chemical_formula_sum 'Sr1 Hf1 Tc1 Ir2'
_cell_length_a 4.8129
_cell_length_b 4.8129
_cell_length_c 4.9945
_cell_angle_alpha 90.00
_cell_angle_beta 90.00
_cell_angle_gamma 90.00
_space_group_name_H-M_alt 'P 4/m m m'
_space_group_IT_number 123
_space_group_name_Hall '-P 4 2'
loop_
_atom_site_label
_atom_site_type_symbol
_atom_site_fract_x
_atom_site_fract_y
_atom_site_fract_z
Sr1 Sr 0.0000 0.0000 0.0000
Hf1 Hf 0.0000 0.0000 0.5000
Tc1 Tc 0.5000 0.5000 0.5000
Ir1 Ir 0.0000 0.5000 0.0000
```

---

10.
VASP calculation (PBE) on crystalline SrHfTiIr2 at its relaxed geometry.

Computed properties:
* total energy: -8.13 eV per atom
* formation energy from the elements: -0.68 eV/atom

Cell and atoms, written as CIF:
```
data_SrHfTiIr2
_chemical_formula_sum 'Sr2 Hf2 Ti2 Ir4'
_cell_length_a 4.4000
_cell_length_b 4.4000
_cell_length_c 11.2373
_cell_angle_alpha 90.00
_cell_angle_beta 90.00
_cell_angle_gamma 90.00
_space_group_name_H-M_alt 'I -4 m 2'
_space_group_IT_number 119
_space_group_name_Hall 'I -4 -2'
loop_
_atom_site_label
_atom_site_type_symbol
_atom_site_fract_x
_atom_site_fract_y
_atom_site_fract_z
Sr1 Sr 0.0000 0.0000 0.0000
Hf1 Hf 0.0000 0.5000 0.2500
Ti1 Ti 0.0000 0.5000 0.7500
Ir1 Ir 0.0000 0.0000 0.3793
```

---

11.
VASP calculation (PBE) on crystalline SrHf2TiIr at its relaxed geometry.

Computed properties:
* total energy: -7.12 eV per atom
* formation energy from the elements: 0.55 eV/atom

Cell and atoms, written as CIF:
```
data_SrHf2TiIr
_chemical_formula_sum 'Sr1 Hf2 Ti1 Ir1'
_cell_length_a 5.0479
_cell_length_b 5.0479
_cell_length_c 4.7666
_cell_angle_alpha 90.00
_cell_angle_beta 90.00
_cell_angle_gamma 90.00
_space_group_name_H-M_alt 'P 4/m m m'
_space_group_IT_number 123
_space_group_name_Hall '-P 4 2'
loop_
_atom_site_label
_atom_site_type_symbol
_atom_site_fract_x
_atom_site_fract_y
_atom_site_fract_z
Sr1 Sr 0.0000 0.0000 0.0000
Hf1 Hf 0.0000 0.5000 0.5000
Ti1 Ti 0.5000 0.5000 0.5000
Ir1 Ir 0.5000 0.5000 0.0000
```

---

12.
VASP calculation (PBE) on crystalline Sr2HfZrIr at its relaxed geometry.

Computed properties:
* total energy: -5.51 eV per atom
* formation energy from the elements: 0.63 eV/atom

Cell and atoms, written as CIF:
```
data_Sr2HfZrIr
_chemical_formula_sum 'Sr2 Hf1 Zr1 Ir1'
_cell_length_a 5.7181
_cell_length_b 5.7181
_cell_length_c 5.0670
_cell_angle_alpha 90.00
_cell_angle_beta 90.00
_cell_angle_gamma 90.00
_space_group_name_H-M_alt 'P 4/m m m'
_space_group_IT_number 123
_space_group_name_Hall '-P 4 2'
loop_
_atom_site_label
_atom_site_type_symbol
_atom_site_fract_x
_atom_site_fract_y
_atom_site_fract_z
Sr1 Sr 0.0000 0.5000 0.0000
Hf1 Hf 0.0000 0.0000 0.5000
Zr1 Zr 0.5000 0.5000 0.5000
Ir1 Ir 0.5000 0.5000 0.0000
```

---

13.
VASP calculation (PBE) on crystalline HfTaIr at its relaxed geometry.

Computed properties:
* total energy: -10.82 eV per atom
* formation energy from the elements: -0.60 eV/atom
* E above lowest polymorph: 5 meV/atom

Cell and atoms, written as CIF:
```
data_HfTaIr
_chemical_formula_sum 'Hf4 Ta4 Ir4'
_cell_length_a 14.5262
_cell_length_b 3.1807
_cell_length_c 4.6426
_cell_angle_alpha 90.00
_cell_angle_beta 94.27
_cell_angle_gamma 90.00
_space_group_name_H-M_alt 'C 1 2/m 1'
_space_group_IT_number 12
loop_
_space_group_symop_operation_xyz
'x,y,z'
'-x,-y,-z'
'-x,y,-z'
'x,-y,z'
'x+1/2,y+1/2,z'
'-x+1/2,-y+1/2,-z'
'-x+1/2,y+1/2,-z'
'x+1/2,-y+1/2,z'
loop_
_atom_site_label
_atom_site_type_symbol
_atom_site_fract_x
_atom_site_fract_y
_atom_site_fract_z
Hf1 Hf 0.0781 0.0000 0.2233
Ta1 Ta 0.2455 0.0000 0.7499
Ir1 Ir 0.0932 0.5000 0.7101
```

---

14.
VASP calculation (PBE) on crystalline HfTaIr2 at its relaxed geometry.

Computed properties:
* total energy: -9.54 eV per atom
* formation energy from the elements: 0.35 eV/atom
* E above lowest polymorph: 1050 meV/atom

Cell and atoms, written as CIF:
```
data_HfTaIr2
_chemical_formula_sum 'Hf4 Ta4 Ir8'
_cell_length_a 5.8849
_cell_length_b 5.8849
_cell_length_c 11.6612
_cell_angle_alpha 90.00
_cell_angle_beta 90.00
_cell_angle_gamma 90.00
_space_group_name_H-M_alt 'I -4 2 d'
_space_group_IT_number 122
_space_group_name_Hall 'I -4 2bw'
loop_
_atom_site_label
_atom_site_type_symbol
_atom_site_fract_x
_atom_site_fract_y
_atom_site_fract_z
Hf1 Hf 0.0000 0.0000 0.0000
Ta1 Ta 0.0000 0.0000 0.5000
Ir1 Ir 0.2365 0.2500 0.6250
```

---

15.
VASP calculation (PBE) on crystalline HfTaIr2 at its relaxed geometry.

Computed properties:
* total energy: -10.45 eV per atom
* formation energy from the elements: -0.56 eV/atom
* E above lowest polymorph: 139 meV/atom

Cell and atoms, written as CIF:
```
data_HfTaIr2
_chemical_formula_sum 'Hf4 Ta4 Ir8'
_cell_length_a 6.4905
_cell_length_b 6.4905
_cell_length_c 6.4905
_cell_angle_alpha 90.00
_cell_angle_beta 90.00
_cell_angle_gamma 90.00
_space_group_name_H-M_alt 'F m -3 m'
_space_group_IT_number 225
_space_group_name_Hall '-F 4 2 3'
loop_
_atom_site_label
_atom_site_type_symbol
_atom_site_fract_x
_atom_site_fract_y
_atom_site_fract_z
Hf1 Hf 0.0000 0.0000 0.0000
Ta1 Ta 0.0000 0.0000 0.5000
Ir1 Ir 0.2500 0.2500 0.2500
```

---

16.
VASP calculation (PBE) on crystalline HfTaIr at its relaxed geometry.

Computed properties:
* total energy: -10.74 eV per atom
* formation energy from the elements: -0.52 eV/atom
* E above lowest polymorph: 84 meV/atom

Cell and atoms, written as CIF:
```
data_HfTaIr
_chemical_formula_sum 'Hf4 Ta4 Ir4'
_cell_length_a 10.2301
_cell_length_b 4.3075
_cell_length_c 6.4379
_cell_angle_alpha 90.00
_cell_angle_beta 126.90
_cell_angle_gamma 90.00
_space_group_name_H-M_alt 'C 1 2/m 1'
_space_group_IT_number 12
loop_
_space_group_symop_operation_xyz
'x,y,z'
'-x,-y,-z'
'-x,y,-z'
'x,-y,z'
'x+1/2,y+1/2,z'
'-x+1/2,-y+1/2,-z'
'-x+1/2,y+1/2,-z'
'x+1/2,-y+1/2,z'
loop_
_atom_site_label
_atom_site_type_symbol
_atom_site_fract_x
_atom_site_fract_y
_atom_site_fract_z
Hf1 Hf 0.0615 0.0000 0.3085
Ta1 Ta 0.1660 0.5000 0.0802
Ir1 Ir 0.1639 0.5000 0.6792
```

---

17.
VASP calculation (PBE) on crystalline Hf4Ta2Ir at its relaxed geometry.

Computed properties:
* total energy: -9.58 eV per atom
* formation energy from the elements: 0.76 eV/atom

Cell and atoms, written as CIF:
```
data_Hf4Ta2Ir
_chemical_formula_sum 'Hf8 Ta4 Ir2'
_cell_length_a 5.0821
_cell_length_b 5.0821
_cell_length_c 13.2979
_cell_angle_alpha 90.00
_cell_angle_beta 90.00
_cell_angle_gamma 90.00
_space_group_name_H-M_alt 'I 4/m m m'
_space_group_IT_number 139
_space_group_name_Hall '-I 4 2'
loop_
_atom_site_label
_atom_site_type_symbol
_atom_site_fract_x
_atom_site_fract_y
_atom_site_fract_z
Hf1 Hf 0.0000 0.0000 0.1913
Hf2 Hf 0.0000 0.5000 0.0000
Ta1 Ta 0.0000 0.0000 0.3982
Ir1 Ir 0.0000 0.0000 0.0000
```

---

18.
VASP calculation (PBE) on crystalline HfTaIr at its relaxed geometry.

Computed properties:
* total energy: -10.46 eV per atom
* formation energy from the elements: -0.24 eV/atom
* E above lowest polymorph: 362 meV/atom

Cell and atoms, written as CIF:
```
data_HfTaIr
_chemical_formula_sum 'Hf2 Ta2 Ir2'
_cell_length_a 5.4708
_cell_length_b 4.2309
_cell_length_c 5.5159
_cell_angle_alpha 90.00
_cell_angle_beta 108.01
_cell_angle_gamma 90.00
_space_group_name_H-M_alt 'P 1 21/m 1'
_space_group_IT_number 11
loop_
_space_group_symop_operation_xyz
'x,y,z'
'-x,-y,-z'
'-x,y+1/2,-z'
'x,-y+1/2,z'
loop_
_atom_site_label
_atom_site_type_symbol
_atom_site_fract_x
_atom_site_fract_y
_atom_site_fract_z
Hf1 Hf 0.1817 0.2500 0.4050
Ta1 Ta 0.3796 0.7500 0.1048
Ir1 Ir 0.1176 0.2500 0.8701
```

---

19.
VASP calculation (PBE) on crystalline HfTaIr2 at its relaxed geometry.

Computed properties:
* total energy: -10.58 eV per atom
* formation energy from the elements: -0.70 eV/atom
* E above lowest polymorph: 0 meV/atom

Cell and atoms, written as CIF:
```
data_HfTaIr2
_chemical_formula_sum 'Hf1 Ta1 Ir2'
_cell_length_a 2.9883
_cell_length_b 2.9883
_cell_length_c 7.5273
_cell_angle_alpha 90.00
_cell_angle_beta 90.00
_cell_angle_gamma 90.00
_space_group_name_H-M_alt 'P 4/m m m'
_space_group_IT_number 123
_space_group_name_Hall '-P 4 2'
loop_
_atom_site_label
_atom_site_type_symbol
_atom_site_fract_x
_atom_site_fract_y
_atom_site_fract_z
Hf1 Hf 0.0000 0.0000 0.0000
Ta1 Ta 0.0000 0.0000 0.5000
Ir1 Ir 0.5000 0.5000 0.2586
```

---

20.
VASP calculation (PBE) on crystalline HfTaIr at its relaxed geometry.

Computed properties:
* total energy: -10.79 eV per atom
* formation energy from the elements: -0.56 eV/atom
* E above lowest polymorph: 38 meV/atom

Cell and atoms, written as CIF:
```
data_HfTaIr
_chemical_formula_sum 'Hf4 Ta4 Ir4'
_cell_length_a 3.1934
_cell_length_b 4.4912
_cell_length_c 15.3195
_cell_angle_alpha 90.00
_cell_angle_beta 90.00
_cell_angle_gamma 90.00
_space_group_name_H-M_alt 'I m m m'
_space_group_IT_number 71
_space_group_name_Hall '-I 2 2'
loop_
_atom_site_label
_atom_site_type_symbol
_atom_site_fract_x
_atom_site_fract_y
_atom_site_fract_z
Hf1 Hf 0.0000 0.0000 0.1781
Ta1 Ta 0.0000 0.5000 0.0000
Ta2 Ta 0.0000 0.5000 0.5000
Ir1 Ir 0.0000 0.0000 0.3574
```